# 1
# AcMnB12 (GGA-PBE, optimized geometry)
# ΔH_f (0 K): -1.86 eV/f.u.
data_AcMnB12
_chemical_formula_sum 'Ac1 Mn1 B12'
_symmetry_space_group_name_H-M 'P 4/m m m'
_symmetry_Int_Tables_number 123
_symmetry_space_group_name_Hall '-P 4 2'
_cell_length_a 4.1655
_cell_length_b 4.1655
_cell_length_c 8.3023
_cell_angle_alpha 90.00
_cell_angle_beta 90.00
_cell_angle_gamma 90.00
loop_
_atom_site_label
_atom_site_type_symbol
_atom_site_fract_x
_atom_site_fract_y
_atom_site_fract_z
Ac1 Ac 0.0000 0.0000 0.0000
Mn1 Mn 0.0000 0.0000 0.5000
B1 B 0.2010 0.5000 0.2541
B2 B 0.5000 0.5000 0.1024
B3 B 0.5000 0.5000 0.4014

# 2
# LiDy2MgTe4 (GGA-PBE, optimized geometry)
# Uncorrected formation energy: -1.160 eV per atom
data_LiDy2MgTe4
_chemical_formula_sum 'Li1 Dy2 Mg1 Te4'
_symmetry_space_group_name_H-M 'P 1 2/m 1'
_symmetry_Int_Tables_number 10
_cell_length_a 7.3680
_cell_length_b 4.2608
_cell_length_c 7.5864
_cell_angle_alpha 90.00
_cell_angle_beta 108.68
_cell_angle_gamma 90.00
loop_
_symmetry_equiv_pos_as_xyz
'x,y,z'
'-x,-y,-z'
'-x,y,-z'
'x,-y,z'
loop_
_atom_site_label
_atom_site_type_symbol
_atom_site_fract_x
_atom_site_fract_y
_atom_site_fract_z
Li1 Li 0.0000 0.0000 0.0000
Dy1 Dy 0.0000 0.5000 0.5000
Dy2 Dy 0.5000 0.0000 0.5000
Mg1 Mg 0.5000 0.5000 0.0000
Te1 Te 0.2485 0.5000 0.2392
Te2 Te 0.2544 0.0000 0.7630

# 3
# TaMo2IrAu (GGA-PBE, optimized geometry)
# ΔH_f (0 K): 10.14 eV/f.u.
data_TaMo2IrAu
_chemical_formula_sum 'Ta1 Mo2 Ir1 Au1'
_symmetry_space_group_name_H-M 'P 4/m m m'
_symmetry_Int_Tables_number 123
_symmetry_space_group_name_Hall '-P 4 2'
_cell_length_a 4.6499
_cell_length_b 4.6499
_cell_length_c 4.9385
_cell_angle_alpha 90.00
_cell_angle_beta 90.00
_cell_angle_gamma 90.00
loop_
_atom_site_label
_atom_site_type_symbol
_atom_site_fract_x
_atom_site_fract_y
_atom_site_fract_z
Ta1 Ta 0.0000 0.0000 0.0000
Mo1 Mo 0.0000 0.5000 0.0000
Ir1 Ir 0.5000 0.5000 0.5000
Au1 Au 0.0000 0.0000 0.5000

# 4
# Ca2TlIr (GGA-PBE, optimized geometry)
# ΔH_f (0 K): -0.92 eV/f.u.
# Polymorph energy (0 for the lowest one): 66 meV per atom
data_Ca2TlIr
_chemical_formula_sum 'Ca4 Tl2 Ir2'
_symmetry_space_group_name_H-M 'A m m 2'
_symmetry_Int_Tables_number 38
_cell_length_a 4.4443
_cell_length_b 4.3071
_cell_length_c 11.0940
_cell_angle_alpha 90.00
_cell_angle_beta 90.00
_cell_angle_gamma 90.00
loop_
_symmetry_equiv_pos_as_xyz
'x,y,z'
'-x,-y,z'
'-x,y,z'
'x,-y,z'
'x,y+1/2,z+1/2'
'-x,-y+1/2,z+1/2'
'-x,y+1/2,z+1/2'
'x,-y+1/2,z+1/2'
loop_
_atom_site_label
_atom_site_type_symbol
_atom_site_fract_x
_atom_site_fract_y
_atom_site_fract_z
Ca1 Ca 0.0000 0.0000 0.0000
Ca2 Ca 0.5000 0.0000 0.2878
Tl1 Tl 0.0000 0.0000 0.7104
Ir1 Ir 0.5000 0.0000 0.5656

# 5
# NaSbSeI2 (GGA-PBE, optimized geometry)
# Uncorrected formation energy: 0.515 eV per atom
# Polymorph energy (0 for the lowest one): 504 meV per atom
data_NaSbSeI2
_chemical_formula_sum 'Na1 Sb1 Se1 I2'
_symmetry_space_group_name_H-M 'P 4/m m m'
_symmetry_Int_Tables_number 123
_symmetry_space_group_name_Hall '-P 4 2'
_cell_length_a 5.5039
_cell_length_b 5.5039
_cell_length_c 6.4393
_cell_angle_alpha 90.00
_cell_angle_beta 90.00
_cell_angle_gamma 90.00
loop_
_atom_site_label
_atom_site_type_symbol
_atom_site_fract_x
_atom_site_fract_y
_atom_site_fract_z
Na1 Na 0.0000 0.0000 0.0000
Sb1 Sb 0.0000 0.0000 0.5000
Se1 Se 0.5000 0.5000 0.5000
I1 I 0.0000 0.5000 0.0000

# 6
# ZrMn2Au (GGA-PBE, optimized geometry)
# ΔH_f (0 K): 1.33 eV/f.u.
# Polymorph energy (0 for the lowest one): 442 meV per atom
data_ZrMn2Au
_chemical_formula_sum 'Zr4 Mn8 Au4'
_symmetry_space_group_name_H-M 'I -4 2 d'
_symmetry_Int_Tables_number 122
_symmetry_space_group_name_Hall 'I -4 2bw'
_cell_length_a 3.9893
_cell_length_b 3.9893
_cell_length_c 18.7015
_cell_angle_alpha 90.00
_cell_angle_beta 90.00
_cell_angle_gamma 90.00
loop_
_atom_site_label
_atom_site_type_symbol
_atom_site_fract_x
_atom_site_fract_y
_atom_site_fract_z
Zr1 Zr 0.0000 0.0000 0.0000
Mn1 Mn 0.2478 0.2500 0.6250
Au1 Au 0.0000 0.0000 0.5000

These records have calculated volume values of 10.3, 28.2, 21.4, 26.5, 39.0, 18.6 Å³/atom, in the order they appear.